## Sm2Dy3Pt2 (PBE-GGA)

Data for Sm2Dy3Pt2 after structural relaxation.

For the formation energy, the calculation gives -0.776 eV per atom. For the electronic total energy, the calculation gives -81.5 eV for the cell shown.

Cell lengths 12.4109, 3.7779, 9.1093 Å; angles 90.00, 116.69, 90.00 degrees
Space group C2/m (No. 12)
Unique sites:
Sm: 0.1621 0.0000 0.3113 (multiplicity 4)
Dy: 0.0000 0.5000 0.5000 (multiplicity 2)
Dy: 0.1155 0.5000 0.9351 (multiplicity 4)
Pt: 0.1702 0.0000 0.7401 (multiplicity 4)

## Rb3CdB5O10 (PBE-GGA)

Data for Rb3CdB5O10 after structural relaxation.

The formation energy from raw total energies comes out at -2235.2 meV per atom. For the electronic total energy, the calculation gives -517.0 eV for the cell shown.

Cell lengths 8.0921, 20.4451, 8.5469 Å; angles 90.00, 121.48, 90.00 degrees
Space group P2_1/c (No. 14)
Unique sites:
Rb: 0.1786 0.0772 0.1527 (multiplicity 4)
Rb: 0.1916 0.0677 0.7013 (multiplicity 4)
Rb: 0.2150 0.7477 0.0272 (multiplicity 4)
Cd: 0.3174 0.6082 0.3275 (multiplicity 4)
B: 0.1202 0.1933 0.3913 (multiplicity 4)
B: 0.3108 0.5822 0.9672 (multiplicity 4)
B: 0.3143 0.5808 0.6780 (multiplicity 4)
B: 0.3608 0.2170 0.0135 (multiplicity 4)
B: 0.4781 0.1644 0.5757 (multiplicity 4)
O: 0.0660 0.6752 0.2125 (multiplicity 4)
O: 0.1654 0.2390 0.9146 (multiplicity 4)
O: 0.2428 0.5564 0.0687 (multiplicity 4)
O: 0.2481 0.5551 0.7910 (multiplicity 4)
O: 0.2577 0.5507 0.5161 (multiplicity 4)
O: 0.2692 0.1480 0.4751 (multiplicity 4)
O: 0.3927 0.1518 0.0291 (multiplicity 4)
O: 0.4298 0.6361 0.7368 (multiplicity 4)
O: 0.4349 0.6354 0.0246 (multiplicity 4)
O: 0.4929 0.7362 0.9118 (multiplicity 4)

## GdThRuPt (PBE-GGA)

Data for GdThRuPt after structural relaxation.

For the formation energy, the calculation gives -0.715 eV per atom. For the electronic total energy, the calculation gives -158.7 eV for the cell shown.

Cell lengths 7.0777, 7.0777, 7.0777 Å; angles 90.00, 90.00, 90.00 degrees
Space group F-43m (No. 216)
Unique sites:
Gd: 0.0000 0.0000 0.0000 (multiplicity 4)
Th: 0.0000 0.0000 0.5000 (multiplicity 4)
Ru: 0.2500 0.2500 0.7500 (multiplicity 4)
Pt: 0.2500 0.2500 0.2500 (multiplicity 4)